The following is a GGA-PBE calculation of a relaxed structure of Pr2Ho4Er2Tm, from the Alexandria database.

```
data_Pr2Ho4Er2Tm
_chemical_formula_sum 'Pr2 Ho4 Er2 Tm1'
_space_group_name_H-M_alt 'P -1'
_space_group_IT_number 2
_space_group_name_Hall '-P 1'
_cell_length_a 6.1564
_cell_length_b 6.1597
_cell_length_c 7.9548
_cell_angle_alpha 82.58
_cell_angle_beta 75.09
_cell_angle_gamma 80.42
loop_
_atom_site_label
_atom_site_fract_x
_atom_site_fract_y
_atom_site_fract_z
Pr1 0.1678 0.3311 0.3313
Ho1 0.0567 0.1108 0.7804
Ho2 0.2775 0.5545 0.8891
Er1 0.3911 0.7770 0.4438
Tm1 0.5000 0.0000 0.0000
```



The following is a GGA-PBE calculation of a relaxed structure of Pr2HoEr3Tm6, from the Alexandria database.

```
data_Pr2HoEr3Tm6
_chemical_formula_sum 'Pr4 Ho2 Er6 Tm12'
_space_group_name_H-M_alt 'C 1 2/m 1'
_space_group_IT_number 12
_space_group_name_Hall '-C 2y'
_cell_length_a 6.1253
_cell_length_b 10.6000
_cell_length_c 11.6753
_cell_angle_alpha 90.00
_cell_angle_beta 100.04
_cell_angle_gamma 90.00
loop_
_atom_site_label
_atom_site_fract_x
_atom_site_fract_y
_atom_site_fract_z
Pr1 0.0000 0.1666 0.0000
Ho1 0.0000 0.5000 0.0000
Er1 0.0000 0.0000 0.5000
Er2 0.0000 0.3335 0.5000
Tm1 0.2470 0.5000 0.7459
Tm2 0.2486 0.1662 0.7462
```



Asked for energy across the records above, the calculation gives -41.27 -108.70 eV for the cell shown in order.
Asked for DOS(E_F) across the records above, the calculation gives 11.893 16.323 states/eV/f.u. in order.
Asked for formation energy across the records above, the calculation gives 0.0219 0.0255 eV per atom in order.